Entry 1:
Material: CaPtAu2
Method: DFT, PBE
State: optimized geometry

Output
DFT formation energy, kJ/mol of atoms: -53
Offset from the most stable computed form, eV/atom: 0.021

a b c (Å): 4.1915 4.2040 8.6324
angles (deg): 90.00 90.00 90.00
Space group Imm2 (No. 44)
Symmetry-distinct sites (fractional):
Ca  0.0000  0.0000  0.0000 (multiplicity 2)
Pt  0.0000  0.5000  0.7502 (multiplicity 2)
Au  0.0000  0.0000  0.4998 (multiplicity 2)
Au  0.0000  0.5000  0.2497 (multiplicity 2)

***

Entry 2:
Material: HoZr3
Method: DFT, PBE
State: optimized geometry

Output
DFT formation energy, kJ/mol of atoms: 18
Offset from the most stable computed form, eV/atom: 0.140

a b c (Å): 7.3098 7.3098 7.3098
angles (deg): 90.00 90.00 90.00
Space group Fm-3m (No. 225)
Symmetry-distinct sites (fractional):
Ho  0.0000  0.0000  0.0000 (multiplicity 4)
Zr  0.0000  0.0000  0.5000 (multiplicity 4)
Zr  0.2500  0.2500  0.2500 (multiplicity 8)

***

Entry 3:
Material: Ga2SnB
Method: DFT, PBE
State: optimized geometry

Output
DFT formation energy, kJ/mol of atoms: 29
Offset from the most stable computed form, eV/atom: 0.041

a b c (Å): 5.2138 5.7004 6.0725
angles (deg): 83.65 65.41 67.10
Space group P1 (No. 1)
Symmetry-distinct sites (fractional):
Ga  0.0000  0.0000  0.0000 (multiplicity 1)
Ga  0.0398  0.9462  0.5627 (multiplicity 1)
Ga  0.6733  0.7370  0.5106 (multiplicity 1)
Ga  0.7578  0.5822  0.9157 (multiplicity 1)
Sn  0.3078  0.3642  0.2012 (multiplicity 1)
Sn  0.4220  0.3444  0.6647 (multiplicity 1)
B  0.2911  0.9414  0.1724 (multiplicity 1)
B  0.6130  0.8919  0.1875 (multiplicity 1)

***

Entry 4:
Material: Pa2Al12Ni7
Method: DFT, PBE
State: optimized geometry

Output
DFT formation energy, kJ/mol of atoms: -50

a b c (Å): 9.6852 9.6852 3.9056
angles (deg): 90.00 90.00 120.00
Space group P-6 (No. 174)
Symmetry-distinct sites (fractional):
Pa  0.0000  0.0000  0.0000 (multiplicity 1)
Pa  0.3333  0.6667  0.5000 (multiplicity 1)
Al  0.0417  0.2850  0.5000 (multiplicity 3)
Al  0.1116  0.7271  0.0000 (multiplicity 3)
Al  0.3826  0.1813  0.0000 (multiplicity 3)
Al  0.5350  0.4232  0.5000 (multiplicity 3)
Ni  0.0637  0.4559  0.0000 (multiplicity 3)
Ni  0.2467  0.2167  0.5000 (multiplicity 3)
Ni  0.6667  0.3333  0.0000 (multiplicity 1)

***

Entry 5:
Material: AgAu
Method: DFT, PBE
State: optimized geometry

Output
DFT formation energy, kJ/mol of atoms: -1

a b c (Å): 2.9499 2.9499 4.7901
angles (deg): 90.00 90.00 120.00
Space group P-6m2 (No. 187)
Symmetry-distinct sites (fractional):
Ag  0.0000  0.0000  0.0000 (multiplicity 1)
Au  0.3333  0.6667  0.5000 (multiplicity 1)

***

Entry 6:
Material: Li5Mg2CdAg2
Method: DFT, PBE
State: optimized geometry

Output
DFT formation energy, kJ/mol of atoms: -14

a b c (Å): 9.3880 9.3880 4.2907
angles (deg): 90.00 90.00 90.00
Space group P4/mbm (No. 127)
Symmetry-distinct sites (fractional):
Li  0.0000  0.5000  0.0000 (multiplicity 2)
Li  0.0722  0.2003  0.0000 (multiplicity 8)
Mg  0.1765  0.6765  0.5000 (multiplicity 4)
Cd  0.0000  0.0000  0.5000 (multiplicity 2)
Ag  0.1178  0.3822  0.5000 (multiplicity 4)